Material: Li7BiAu2
Method: DFT, GGA-PBE
State: optimized geometry

Output
* space group: P3m1
* calculated volume: 19.49 A^3/atom
* mass density: 5.6 g cm⁻³
* ΔH_f (0 K): -0.40 eV per atom

Unit cell a=4.601 b=4.601 c=10.631 alpha=90.00 beta=90.00 gamma=120.00
Fractional positions:
Li: 0.667 0.333 0.112
Li: 0.000 0.000 0.283
Li: 0.667 0.333 0.857
Li: 0.333 0.667 0.955
Li: 0.000 0.000 0.722
Li: 0.333 0.667 0.441
Li: 0.667 0.333 0.595
Au: 0.333 0.667 0.695
Au: 0.667 0.333 0.357
Bi: 0.000 0.000 0.001

Material: TiMn2Mo
Method: DFT, GGA-PBE
State: optimized geometry

Output
* space group: I-42d
* calculated volume: 14.15 A^3/atom
* energy above the most stable polymorph in this dataset: 720 meV/atom
* mass density: 7.4 g cm⁻³
* ΔH_f (0 K): 0.53 eV per atom

Unit cell a=6.613 b=6.613 c=5.345 alpha=51.79 beta=51.79 gamma=90.00
Fractional positions:
Mo: 0.750 0.250 0.500
Mo: 0.000 0.000 0.000
Ti: 0.500 0.500 0.000
Ti: 0.250 0.750 0.500
Mn: 0.875 0.884 0.750
Mn: 0.375 0.366 0.750
Mn: 0.116 0.625 0.250
Mn: 0.634 0.125 0.250

Material: TiNbTe
Method: DFT, GGA-PBE
State: optimized geometry

Output
* space group: Cm
* calculated volume: 20.96 A^3/atom
* raw formation energy: -0.292 eV/atom
* energy above the most stable polymorph in this dataset: 73 meV/atom
* mass density: 7.1 g cm⁻³

Unit cell a=7.243 b=3.610 c=10.183 alpha=90.00 beta=109.13 gamma=90.00
Fractional positions:
Nb: 0.450 0.500 0.825
Nb: 0.611 0.500 0.541
Nb: 0.450 0.000 0.325
Nb: 0.611 0.000 0.041
Ti: 0.331 0.000 0.585
Ti: 0.331 0.500 0.085
Ti: 0.163 0.000 0.860
Ti: 0.163 0.500 0.360
Te: 0.056 0.000 0.119
Te: 0.056 0.500 0.619
Te: 0.728 0.000 0.782
Te: 0.728 0.500 0.282

Material: Tl5SiS4
Method: DFT, GGA-PBE
State: optimized geometry

Output
* space group: Pmmn
* calculated volume: 30.44 A^3/atom
* raw formation energy: -0.399 eV/atom
* mass density: 6.4 g cm⁻³

Unit cell a=6.938 b=9.942 c=8.828 alpha=90.00 beta=90.00 gamma=90.00
Fractional positions:
Tl: 0.093 0.000 0.500
Tl: 0.719 0.821 0.289
Tl: 0.281 0.679 0.211
Tl: 0.281 0.679 0.789
Tl: 0.907 0.500 0.000
Tl: 0.719 0.821 0.711
Tl: 0.719 0.179 0.289
Tl: 0.719 0.179 0.711
Tl: 0.281 0.321 0.789
Tl: 0.281 0.321 0.211
S: 0.310 0.000 0.199
S: 0.047 0.322 0.500
S: 0.690 0.500 0.699
S: 0.953 0.822 0.000
S: 0.310 0.000 0.801
S: 0.047 0.678 0.500
S: 0.953 0.178 0.000
S: 0.690 0.500 0.301
Si: 0.866 0.500 0.500
Si: 0.134 0.000 0.000

Material: Ta4NiRh
Method: DFT, GGA-PBE
State: optimized geometry

Output
* space group: F-43m
* calculated volume: 17.63 A^3/atom
* energy above the most stable polymorph in this dataset: 679 meV/atom
* mass density: 13.9 g cm⁻³
* ΔH_f (0 K): 0.43 eV per atom

Unit cell a=5.309 b=5.309 c=5.309 alpha=60.00 beta=60.00 gamma=60.00
Fractional positions:
Rh: 0.000 0.000 0.000
Ta: 0.625 0.125 0.625
Ta: 0.125 0.625 0.625
Ta: 0.625 0.625 0.125
Ta: 0.625 0.625 0.625
Ni: 0.250 0.250 0.250

Material: TiNbIn2
Method: DFT, GGA-PBE
State: optimized geometry

Output
* space group: P4/mmm
* calculated volume: 19.62 A^3/atom
* energy above the most stable polymorph in this dataset: 143 meV/atom
* mass density: 7.8 g cm⁻³
* ΔH_f (0 K): 0.08 eV per atom

Unit cell a=3.647 b=3.647 c=5.900 alpha=90.00 beta=90.00 gamma=90.00
Fractional positions:
Ti: 0.500 0.500 0.500
Nb: 0.500 0.500 0.000
In: 0.000 0.000 0.251
In: 0.000 0.000 0.749

Material: PaIn2Pd
Method: DFT, GGA-PBE
State: optimized geometry

Output
* space group: P4/mmm
* calculated volume: 21.58 A^3/atom
* mass density: 10.9 g cm⁻³
* ΔH_f (0 K): -0.27 eV per atom

Unit cell a=3.282 b=3.282 c=8.013 alpha=90.00 beta=90.00 gamma=90.00
Fractional positions:
Pd: 0.500 0.500 0.000
In: 0.000 0.000 0.793
In: 0.000 0.000 0.207
Pa: 0.500 0.500 0.500

Material: PaCrCo2P2
Method: DFT, GGA-PBE
State: optimized geometry

Output
* space group: P-3m1
* calculated volume: 14.01 A^3/atom
* mass density: 9.1 g cm⁻³
* ΔH_f (0 K): -0.75 eV per atom

Unit cell a=3.896 b=3.896 c=6.395 alpha=90.00 beta=90.00 gamma=120.00
Fractional positions:
P: 0.667 0.333 0.709
P: 0.333 0.667 0.291
Co: 0.667 0.333 0.308
Co: 0.333 0.667 0.692
Cr: 0.000 0.000 0.500
Pa: 0.000 0.000 0.000

Material: Na4Sr5Rh
Method: DFT, GGA-PBE
State: optimized geometry

Output
* space group: I4/mmm
* calculated volume: 44.66 A^3/atom
* mass density: 2.4 g cm⁻³
* ΔH_f (0 K): -0.07 eV per atom

Unit cell a=5.890 b=9.192 c=9.192 alpha=84.11 beta=71.31 gamma=71.31
Fractional positions:
Na: 0.499 0.345 0.655
Na: 0.499 0.655 0.345
Na: 0.844 0.655 0.655
Na: 0.154 0.345 0.345
Rh: 0.999 0.000 0.000
Sr: 0.499 0.000 0.000
Sr: 0.165 0.000 0.667
Sr: 0.165 0.667 0.000
Sr: 0.833 0.000 0.333
Sr: 0.833 0.333 0.000

Material: FeSe3
Method: DFT, GGA-PBE
State: optimized geometry

Output
* space group: Pmmn
* calculated volume: 23.68 A^3/atom
* raw formation energy: 0.010 eV/atom
* mass density: 5.1 g cm⁻³

Unit cell a=3.339 b=5.045 c=11.247 alpha=90.00 beta=90.00 gamma=90.00
Fractional positions:
Fe: 0.000 0.459 0.000
Fe: 0.500 0.541 0.500
Se: 0.000 0.365 0.373
Se: 0.500 0.635 0.873
Se: 0.000 0.365 0.627
Se: 0.500 0.131 0.000
Se: 0.500 0.635 0.127
Se: 0.000 0.869 0.500

Material: TbLuCuHg
Method: DFT, GGA-PBE
State: optimized geometry

Output
* space group: F-43m
* calculated volume: 22.99 A^3/atom
* mass density: 10.8 g cm⁻³
* ΔH_f (0 K): -0.34 eV per atom

Unit cell a=5.067 b=5.067 c=5.067 alpha=60.00 beta=60.00 gamma=60.00
Fractional positions:
Cu: 0.750 0.750 0.750
Lu: 0.000 0.000 0.000
Tb: 0.500 0.500 0.500
Hg: 0.250 0.250 0.250

Material: K2TaSb
Method: DFT, GGA-PBE
State: optimized geometry

Output
* space group: Cmmm
* calculated volume: 28.54 A^3/atom
* raw formation energy: 0.776 eV/atom
* mass density: 5.5 g cm⁻³

Unit cell a=6.699 b=6.699 c=3.217 alpha=90.00 beta=90.00 gamma=127.75
Fractional positions:
Sb: 0.500 0.000 0.500
K: 0.500 0.500 0.000
K: 0.000 0.000 0.000
Ta: 0.000 0.500 0.500

Material: Er3HgAu2
Method: DFT, GGA-PBE
State: optimized geometry

Output
* space group: P4/mmm
* calculated volume: 23.52 A^3/atom
* mass density: 12.9 g cm⁻³
* ΔH_f (0 K): -0.75 eV per atom

Unit cell a=3.626 b=3.626 c=10.732 alpha=90.00 beta=90.00 gamma=90.00
Fractional positions:
Hg: 0.500 0.500 0.500
Au: 0.500 0.500 0.165
Au: 0.500 0.500 0.835
Er: 0.000 0.000 0.000
Er: 0.000 0.000 0.676
Er: 0.000 0.000 0.324

Material: Cr4CuRh
Method: DFT, GGA-PBE
State: optimized geometry

Output
* space group: F-43m
* calculated volume: 12.37 A^3/atom
* mass density: 8.4 g cm⁻³
* ΔH_f (0 K): 0.17 eV per atom

Unit cell a=4.717 b=4.717 c=4.717 alpha=60.00 beta=60.00 gamma=60.00
Fractional positions:
Cu: 0.750 0.750 0.750
Cr: 0.378 0.867 0.378
Cr: 0.378 0.378 0.867
Cr: 0.378 0.378 0.378
Cr: 0.867 0.378 0.378
Rh: 0.000 0.000 0.000

Material: TlTe3Mo
Method: DFT, GGA-PBE
State: optimized geometry

Output
* space group: Pm-3m
* calculated volume: 31.45 A^3/atom
* raw formation energy: 0.209 eV/atom
* mass density: 7.2 g cm⁻³

Unit cell a=5.398 b=5.398 c=5.398 alpha=90.00 beta=90.00 gamma=90.00
Fractional positions:
Tl: 0.500 0.500 0.500
Te: 0.500 0.000 0.000
Te: 0.000 0.000 0.500
Te: 0.000 0.500 0.000
Mo: 0.000 0.000 0.000

Material: TbBOs
Method: DFT, GGA-PBE
State: optimized geometry

Output
* space group: I4/mmm
* calculated volume: 18.44 A^3/atom
* energy above the most stable polymorph in this dataset: 107 meV/atom
* mass density: 10.8 g cm⁻³
* ΔH_f (0 K): -0.26 eV per atom

Unit cell a=3.909 b=3.909 c=7.752 alpha=104.60 beta=104.60 gamma=90.00
Fractional positions:
Tb: 0.352 0.352 0.704
Tb: 0.648 0.648 0.296
B: 0.074 0.074 0.149
B: 0.926 0.926 0.851
Os: 0.000 0.500 0.000
Os: 0.500 0.000 0.000

Material: MgHIr4
Method: DFT, GGA-PBE
State: optimized geometry

Output
* space group: Cm
* calculated volume: 12.78 A^3/atom
* energy above the most stable polymorph in this dataset: 6 meV/atom
* mass density: 17.2 g cm⁻³

Unit cell a=4.827 b=3.919 c=4.849 alpha=66.17 beta=81.08 gamma=66.04
Fractional positions:
Ir: 0.513 0.500 0.988
Ir: 0.709 0.708 0.375
Ir: 0.317 0.309 0.566
Ir: 0.111 0.094 0.201
Mg: 0.926 0.897 0.780
H: 0.474 0.047 0.934

Material: PmPr7Er12
Method: DFT, GGA-PBE
State: optimized geometry

Output
* space group: Im-3m
* calculated volume: 36.02 A^3/atom
* energy above the most stable polymorph in this dataset: 407 meV/atom
* mass density: 7.2 g cm⁻³
* ΔH_f (0 K): 0.64 eV per atom

Unit cell a=9.781 b=9.781 c=9.781 alpha=109.47 beta=109.47 gamma=109.47
Fractional positions:
Pr: 0.000 0.500 0.000
Pr: 0.500 0.000 0.000
Pr: 0.500 0.500 0.500
Pr: 0.500 0.500 0.000
Pr: 0.000 0.000 0.500
Pr: 0.000 0.500 0.500
Pr: 0.500 0.000 0.500
Er: 0.751 0.000 0.249
Er: 0.502 0.751 0.751
Er: 0.751 0.249 0.000
Er: 0.498 0.249 0.249
Er: 0.249 0.000 0.751
Er: 0.000 0.751 0.249
Er: 0.000 0.249 0.751
Er: 0.249 0.751 0.000
Er: 0.751 0.502 0.751
Er: 0.249 0.249 0.498
Er: 0.249 0.498 0.249
Er: 0.751 0.751 0.502
Pm: 0.000 0.000 0.000

Material: ZnCo2Si
Method: DFT, GGA-PBE
State: optimized geometry

Output
* space group: C2/m
* calculated volume: 11.82 A^3/atom
* raw formation energy: -0.127 eV/atom
* mass density: 7.4 g cm⁻³

Unit cell a=4.050 b=4.050 c=4.753 alpha=79.11 beta=79.11 gamma=38.26
Fractional positions:
Si: 0.750 0.750 0.750
Zn: 0.250 0.250 0.250
Co: 0.010 0.010 0.977
Co: 0.490 0.490 0.523

Material: SmTeRh2
Method: DFT, GGA-PBE
State: optimized geometry

Output
* space group: R-3m
* calculated volume: 20.81 A^3/atom
* raw formation energy: -0.616 eV/atom
* mass density: 9.7 g cm⁻³

Unit cell a=4.513 b=4.513 c=5.390 alpha=65.25 beta=65.25 gamma=60.00
Fractional positions:
Rh: 0.211 0.211 0.368
Rh: 0.789 0.789 0.632
Sm: 0.000 0.000 0.000
Te: 0.500 0.500 0.500

Material: Y12ErC7
Method: DFT, GGA-PBE
State: optimized geometry

Output
* space group: R-3
* calculated volume: 22.02 A^3/atom
* mass density: 5.0 g cm⁻³
* ΔH_f (0 K): -0.25 eV per atom

Unit cell a=8.138 b=8.138 c=8.138 alpha=107.68 beta=107.68 gamma=107.68
Fractional positions:
Y: 0.309 0.786 0.930
Y: 0.159 0.374 0.442
Y: 0.558 0.841 0.626
Y: 0.841 0.626 0.558
Y: 0.626 0.558 0.841
Y: 0.786 0.930 0.309
Y: 0.691 0.214 0.070
Y: 0.930 0.309 0.786
Y: 0.070 0.691 0.214
Y: 0.374 0.442 0.159
Y: 0.214 0.070 0.691
Y: 0.442 0.159 0.374
Er: 0.000 0.000 0.000
C: 0.352 0.115 0.040
C: 0.648 0.885 0.960
C: 0.960 0.648 0.885
C: 0.885 0.960 0.648
C: 0.115 0.040 0.352
C: 0.500 0.500 0.500
C: 0.040 0.352 0.115